A plane-wave DFT calculation with PBE with a Hubbard U was carried out for a relaxed TiCo2HgO crystal.

Computed properties:
- SG: P4/mmm, No. 123
- Magnetic moment: 3.060 μB/cell
- Raw total energy: -3.153 eV per atom
- Crystal system: tetragonal

Cell lengths 4.334, 4.334, 5.360 Å; angles 90.00, 90.00, 90.00 degrees
Element x y z (fractional)
Ti: 0.000 0.000 0.000
Co: 0.000 0.500 0.000
Co: 0.500 0.000 0.000
Hg: 0.000 0.000 0.500
O: 0.500 0.500 0.500